! KSrVF6 | the Alexandria database | GGA+U | optimized geometry; values from VASP
! - Symmetry: No. 163
! - Crystal system: trigonal
! - DOS(E_F): 0.0 states/eV per cell
! - Total DFT energy (no corrections): -5.616 eV per atom
&SYSTEM
  ibrav = 0, nat = 18, ntyp = 4
/
ATOMIC_SPECIES
K 39.10 K.upf
Sr 87.62 Sr.upf
V 50.94 V.upf
F 19.00 F.upf
ATOMIC_POSITIONS crystal
K 0.000 0.000 0.000
K 0.000 0.000 0.500
Sr 0.333 0.667 0.250
Sr 0.667 0.333 0.750
V 0.333 0.667 0.750
V 0.667 0.333 0.250
F 0.055 0.397 0.643
F 0.055 0.658 0.857
F 0.342 0.397 0.857
F 0.342 0.945 0.643
F 0.397 0.055 0.143
F 0.397 0.342 0.357
F 0.603 0.658 0.643
F 0.603 0.945 0.857
F 0.658 0.055 0.357
F 0.658 0.603 0.143
F 0.945 0.342 0.143
F 0.945 0.603 0.357
CELL_PARAMETERS angstrom
6.076 0.000 0.000
-3.038 5.262 0.000
0.000 0.000 10.141